[1]
Material: LiTlAsF6
Method: DFT, PBE
State: optimized geometry

Summary:
Formation energy (no corrections) = -19.777 eV per formula unit
DOS at the Fermi energy = 1.57 states/eV per cell
V = 152 Å³/cell
SG = No. 149

a = 5.3713 Å, b = 5.3713 Å, c = 6.0931 Å
α = 90.00°, β = 90.00°, γ = 120.00°
With the nearest neighbours (Å) after each atom.
Sites, in units of the cell vectors:
1 Li 0.0000 0.0000 0.0000  6 F 2.09
2 Tl 0.6667 0.3333 0.5000  6 F 2.82
3 As 0.3333 0.6667 0.0000  6 F 1.93
4 F 0.0564 0.3558 0.1801  1 As 1.93, 1 Li 2.09
5 F 0.0564 0.7006 0.8199  1 As 1.93, 1 Li 2.09
6 F 0.2994 0.3558 0.8199  1 As 1.93, 1 Li 2.09
7 F 0.2994 0.9436 0.1801  1 As 1.93, 1 Li 2.09
8 F 0.6442 0.7006 0.1801  1 As 1.93, 1 Li 2.09
9 F 0.6442 0.9436 0.8199  1 As 1.93, 1 Li 2.09



[2]
Material: Ti4Nb2Ge
Method: DFT, PBE
State: optimized geometry

Summary:
DOS at the Fermi energy = 8.37 states/eV per cell
Energy of formation from the pure elements = 464 kJ/mol of formula units
V = 142 Å³/cell
SG = No. 139

a = 7.2163 Å, b = 7.2163 Å, c = 7.2163 Å
α = 141.90°, β = 141.90°, γ = 54.97°
With the nearest neighbours (Å) after each atom.
Sites, in units of the cell vectors:
1 Ti 0.0000 0.5000 0.5000  2 Ge 2.36
2 Ti 0.1947 0.1947 0.0000  1 Nb 2.48, 1 Ge 2.49
3 Ti 0.5000 0.0000 0.5000  2 Ge 2.36
4 Ti 0.8053 0.8053 0.0000  1 Nb 2.48, 1 Ge 2.49
5 Nb 0.3882 0.3882 0.0000  5 Ti 2.48-2.76
6 Nb 0.6118 0.6118 0.0000  5 Ti 2.48-2.76
7 Ge 0.0000 0.0000 0.0000  6 Ti 2.36-2.49



[3]
Material: NpU2As2N2
Method: DFT, PBE
State: optimized geometry

Summary:
Formation energy (no corrections) = -7.431 eV per formula unit
DOS at the Fermi energy = 11.41 states/eV per cell
V = 134 Å³/cell
SG = No. 12

a = 6.2167 Å, b = 6.2167 Å, c = 6.9090 Å
α = 119.76°, β = 119.76°, γ = 35.96°
With the nearest neighbours (Å) after each atom.
Sites, in units of the cell vectors:
1 Np 0.0000 0.0000 0.0000  2 N 2.22
2 U 0.1864 0.1864 0.7410  3 N 2.24-2.30
3 U 0.8136 0.8136 0.2590  3 N 2.24-2.30
4 As 0.4315 0.4315 0.6523  2 Np 2.84, 2 U 3.01
5 As 0.5685 0.5685 0.3477  2 Np 2.84, 2 U 3.01
6 N 0.2105 0.2105 0.0934  1 Np 2.22, 3 U 2.24-2.30
7 N 0.7895 0.7895 0.9066  1 Np 2.22, 3 U 2.24-2.30



[4]
Material: CaAlAg2
Method: DFT, PBE
State: optimized geometry

Summary:
DOS at the Fermi energy = 2.15 states/eV per cell
Energy of formation from the pure elements = 8 kJ/mol of formula units
V = 84 Å³/cell
SG = No. 12

a = 5.7291 Å, b = 5.7291 Å, c = 3.0909 Å
α = 102.93°, β = 102.93°, γ = 114.52°
With the nearest neighbours (Å) after each atom.
Sites, in units of the cell vectors:
1 Ca 0.0000 0.0000 0.0000  4 Ag 2.93, 2 Ca 3.09, 2 Al 3.10
2 Al 0.5000 0.5000 0.0000  4 Ag 2.93, 2 Al 3.09, 2 Ca 3.10
3 Ag 0.0000 0.5000 0.5000  2 Ca 2.93, 2 Al 2.93, 4 Ag 3.09-3.10
4 Ag 0.5000 0.0000 0.5000  2 Ca 2.93, 2 Al 2.93, 4 Ag 3.09-3.10



[5]
Material: Sc8NiPt2
Method: DFT, PBE
State: optimized geometry

Summary:
DOS at the Fermi energy = 10.28 states/eV per cell
Energy of formation from the pure elements = -556 kJ/mol of formula units
V = 231 Å³/cell
SG = No. 8

a = 8.1654 Å, b = 8.1654 Å, c = 5.3374 Å
α = 103.74°, β = 103.74°, γ = 129.00°
With the nearest neighbours (Å) after each atom.
Sites, in units of the cell vectors:
1 Sc 0.0000 0.0000 0.0000  1 Ni 2.43
2 Sc 0.1443 0.8871 0.5497  1 Ni 2.55, 1 Pt 2.64
3 Sc 0.3755 0.6178 0.2001  1 Ni 2.59, 2 Pt 2.65-2.89
4 Sc 0.4554 0.4554 0.6567  1 Ni 2.50
5 Sc 0.5527 0.9411 0.8798  4 Pt 2.88-3.19, 4 Sc 3.07-3.22
6 Sc 0.6178 0.3755 0.2001  1 Ni 2.59, 2 Pt 2.65-2.89
7 Sc 0.8871 0.1443 0.5497  1 Ni 2.55, 1 Pt 2.64
8 Sc 0.9411 0.5527 0.8798  4 Pt 2.88-3.19, 4 Sc 3.07-3.22
9 Ni 0.7646 0.7646 0.2039  6 Sc 2.43-2.59
10 Pt 0.0275 0.4432 0.3383  6 Sc 2.64-2.92
11 Pt 0.4432 0.0275 0.3383  6 Sc 2.64-2.92



[6]
Material: Ho8PdPt2
Method: DFT, PBE
State: optimized geometry

Summary:
DOS at the Fermi energy = 12.72 states/eV per cell
Energy of formation from the pure elements = -592 kJ/mol of formula units
V = 298 Å³/cell
SG = No. 8

a = 7.6395 Å, b = 7.6395 Å, c = 5.8296 Å
α = 99.87°, β = 99.87°, γ = 113.00°
With the nearest neighbours (Å) after each atom.
Sites, in units of the cell vectors:
1 Ho 0.0000 0.0000 0.0000  1 Pd 2.99, 2 Pt 3.07
2 Ho 0.0300 0.2859 0.5874  2 Pt 2.81-2.83, 1 Pd 3.14
3 Ho 0.1451 0.5877 0.1806  1 Pd 2.93, 2 Pt 3.11-3.12
4 Ho 0.2859 0.0300 0.5874  2 Pt 2.81-2.83, 1 Pd 3.14
5 Ho 0.4457 0.7017 0.7864  2 Pt 2.83-2.84, 1 Pd 3.12
6 Ho 0.5877 0.1451 0.1806  1 Pd 2.93, 2 Pt 3.11-3.12
7 Ho 0.7017 0.4457 0.7864  2 Pt 2.83-2.84, 1 Pd 3.12
8 Ho 0.7313 0.7313 0.3619  2 Pt 3.06, 1 Pd 3.08
9 Pd 0.3627 0.3627 0.0448  8 Ho 2.93-3.14
10 Pt 0.0567 0.6733 0.6806  8 Ho 2.81-3.12
11 Pt 0.6733 0.0567 0.6806  8 Ho 2.81-3.12



[7]
Material: Li12Zn2Cu
Method: DFT, PBE
State: optimized geometry

Summary:
DOS at the Fermi energy = 12.19 states/eV per cell
Energy of formation from the pure elements = 185 kJ/mol of formula units
V = 594 Å³/cell
SG = No. 125

a = 5.4720 Å, b = 5.4720 Å, c = 19.8529 Å
α = 90.00°, β = 90.00°, γ = 90.00°
With the nearest neighbours (Å) after each atom.
Sites, in units of the cell vectors:
1 Li 0.0000 0.0000 0.0808  2 Cu 2.51, 4 Li 2.74
2 Li 0.0000 0.0000 0.9192  2 Cu 2.51, 4 Li 2.74
3 Li 0.0000 0.5000 0.0808  2 Cu 2.51, 4 Li 2.74
4 Li 0.0000 0.5000 0.9192  2 Cu 2.51, 4 Li 2.74
5 Li 0.0651 0.5651 0.4360  6 Li 2.74-2.86
6 Li 0.0651 0.9349 0.5640  6 Li 2.74-2.86
7 Li 0.2500 0.2500 0.1867  5 Li 2.58-2.86, 4 Zn 2.74
8 Li 0.2500 0.2500 0.3167  1 Li 2.58
9 Li 0.2500 0.2500 0.6833  1 Li 2.58
10 Li 0.2500 0.2500 0.8133  5 Li 2.58-2.86, 4 Zn 2.74
11 Li 0.4349 0.5651 0.5640  6 Li 2.74-2.86
12 Li 0.4349 0.9349 0.4360  6 Li 2.74-2.86
13 Li 0.5000 0.0000 0.0808  2 Cu 2.51, 4 Li 2.74
14 Li 0.5000 0.0000 0.9192  2 Cu 2.51, 4 Li 2.74
15 Li 0.5000 0.5000 0.0808  2 Cu 2.51, 4 Li 2.74
16 Li 0.5000 0.5000 0.9192  2 Cu 2.51, 4 Li 2.74
17 Li 0.5651 0.0651 0.5640  6 Li 2.74-2.86
18 Li 0.5651 0.4349 0.4360  6 Li 2.74-2.86
19 Li 0.7500 0.7500 0.1867  5 Li 2.58-2.86, 4 Zn 2.74
20 Li 0.7500 0.7500 0.3167  1 Li 2.58
21 Li 0.7500 0.7500 0.6833  1 Li 2.58
22 Li 0.7500 0.7500 0.8133  5 Li 2.58-2.86, 4 Zn 2.74
23 Li 0.9349 0.0651 0.4360  6 Li 2.74-2.86
24 Li 0.9349 0.4349 0.5640  6 Li 2.74-2.86
25 Zn 0.2500 0.7500 0.1911  8 Li 2.74-2.92
26 Zn 0.2500 0.7500 0.8089  8 Li 2.74-2.92
27 Zn 0.7500 0.2500 0.1911  8 Li 2.74-2.92
28 Zn 0.7500 0.2500 0.8089  8 Li 2.74-2.92
29 Cu 0.2500 0.7500 0.0000  8 Li 2.51
30 Cu 0.7500 0.2500 0.0000  8 Li 2.51



[8]
Material: RbTaSe3
Method: DFT, PBE
State: optimized geometry

Summary:
Formation energy (no corrections) = -4.511 eV per formula unit
V = 311 Å³/cell
SG = No. 12

a = 9.4259 Å, b = 9.4259 Å, c = 9.1556 Å
α = 97.94°, β = 97.94°, γ = 22.69°
With the nearest neighbours (Å) after each atom.
Sites, in units of the cell vectors:
1 Rb 0.1006 0.1006 0.3774  8 Se 3.49-3.70, 2 Rb 3.71
2 Rb 0.8994 0.8994 0.6226  8 Se 3.49-3.70, 2 Rb 3.71
3 Ta 0.3153 0.3153 0.1794  5 Se 2.38-2.63
4 Ta 0.6847 0.6847 0.8206  5 Se 2.38-2.63
5 Se 0.1695 0.1695 0.0175  3 Ta 2.63-2.89
6 Se 0.2418 0.2418 0.6741  2 Ta 2.60
7 Se 0.4376 0.4376 0.3014  1 Ta 2.38
8 Se 0.5624 0.5624 0.6986  1 Ta 2.38
9 Se 0.7582 0.7582 0.3259  2 Ta 2.60
10 Se 0.8305 0.8305 0.9825  3 Ta 2.63-2.89



What did the third record say?
Material: NpU2As2N2
Method: DFT, PBE
State: optimized geometry

Summary:
Formation energy (no corrections) = -7.431 eV per formula unit
DOS at the Fermi energy = 11.41 states/eV per cell
V = 134 Å³/cell
SG = No. 12

a = 6.2167 Å, b = 6.2167 Å, c = 6.9090 Å
α = 119.76°, β = 119.76°, γ = 35.96°
With the nearest neighbours (Å) after each atom.
Sites, in units of the cell vectors:
1 Np 0.0000 0.0000 0.0000  2 N 2.22
2 U 0.1864 0.1864 0.7410  3 N 2.24-2.30
3 U 0.8136 0.8136 0.2590  3 N 2.24-2.30
4 As 0.4315 0.4315 0.6523  2 Np 2.84, 2 U 3.01
5 As 0.5685 0.5685 0.3477  2 Np 2.84, 2 U 3.01
6 N 0.2105 0.2105 0.0934  1 Np 2.22, 3 U 2.24-2.30
7 N 0.7895 0.7895 0.9066  1 Np 2.22, 3 U 2.24-2.30



Q: Number 5 is which compound?
A: Sc8NiPt2



Q: Number 4 is which compound?
A: CaAlAg2



Q: Look up the V of the second one.
A: 142 Å³/cell